(1)
# Pm2TlPd4, optimized geometry, DFT PBE
# formation energy: -0.54 eV per formula unit
# distance to the lowest polymorph of the same formula: 4.17 eV per formula unit
# magnetic moment: 0.00 μB per formula unit
# DFT total energy: -4.739 eV/atom
data_Pm2TlPd4
_chemical_formula_sum 'Pm4 Tl2 Pd8'
_cell_length_a 5.036
_cell_length_b 5.036
_cell_length_c 14.508
_cell_angle_alpha 90.00
_cell_angle_beta 90.00
_cell_angle_gamma 90.00
_space_group_name_H-M_alt 'I 4/m m m'
_space_group_IT_number 139
_space_group_name_Hall '-I 4 2'
loop_
_atom_site_label
_atom_site_type_symbol
_atom_site_fract_x
_atom_site_fract_y
_atom_site_fract_z
_atom_site_occupancy
Pm1 Pm 0.000 0.000 0.130 1
Tl1 Tl 0.000 0.000 0.500 1
Pd1 Pd 0.000 0.000 0.313 1
Pd2 Pd 0.000 0.500 0.000 1

(2)
# TmVFe, optimized geometry, DFT PBE
# formation energy: 0.38 eV per formula unit
# distance to the lowest polymorph of the same formula: 0.00 eV per formula unit
# magnetic moment: 0.00 μB per formula unit
# DFT total energy: -7.226 eV/atom
data_TmVFe
_chemical_formula_sum 'Tm16 V16 Fe16'
_cell_length_a 7.372
_cell_length_b 10.590
_cell_length_c 10.963
_cell_angle_alpha 90.00
_cell_angle_beta 90.00
_cell_angle_gamma 90.00
_space_group_name_H-M_alt 'F d d d'
_space_group_IT_number 70
loop_
_space_group_symop_operation_xyz
'x,y,z'
'-x,-y,-z'
'-x+1/4,-y+1/4,z'
'x+1/4,y+1/4,-z'
'x,-y+1/4,-z+1/4'
'-x,y+1/4,z+1/4'
'-x+1/4,y,-z+1/4'
'x+1/4,-y,z+1/4'
'x,y+1/2,z+1/2'
'-x,-y+1/2,-z+1/2'
'-x+1/4,-y+3/4,z+1/2'
'x+1/4,y+3/4,-z+1/2'
'x,-y+3/4,-z+3/4'
'-x,y+3/4,z+3/4'
'-x+1/4,y+1/2,-z+3/4'
'x+1/4,-y+1/2,z+3/4'
'x+1/2,y,z+1/2'
'-x+1/2,-y,-z+1/2'
'-x+3/4,-y+1/4,z+1/2'
'x+3/4,y+1/4,-z+1/2'
'x+1/2,-y+1/4,-z+3/4'
'-x+1/2,y+1/4,z+3/4'
'-x+3/4,y,-z+3/4'
'x+3/4,-y,z+3/4'
'x+1/2,y+1/2,z'
'-x+1/2,-y+1/2,-z'
'-x+3/4,-y+3/4,z'
'x+3/4,y+3/4,-z'
'x+1/2,-y+3/4,-z+1/4'
'-x+1/2,y+3/4,z+1/4'
'-x+3/4,y+1/2,-z+1/4'
'x+3/4,-y+1/2,z+1/4'
loop_
_atom_site_label
_atom_site_type_symbol
_atom_site_fract_x
_atom_site_fract_y
_atom_site_fract_z
_atom_site_occupancy
Tm1 Tm 0.000 0.000 0.000 1
V1 V 0.125 0.257 0.625 1
Fe1 Fe 0.125 0.125 0.456 1

(3)
# SrMg14Ti, optimized geometry, DFT PBE
# formation energy: 1.41 eV per formula unit
# distance to the lowest polymorph of the same formula: 0.00 eV per formula unit
# magnetic moment: 1.31 μB per formula unit
# DFT total energy: -1.905 eV/atom
data_SrMg14Ti
_chemical_formula_sum 'Sr1 Mg14 Ti1'
_cell_length_a 6.5631
_cell_length_b 6.5631
_cell_length_c 10.3593
_cell_angle_alpha 90.00
_cell_angle_beta 90.00
_cell_angle_gamma 120.00
_space_group_name_H-M_alt 'P -6 m 2'
_space_group_IT_number 187
_space_group_name_Hall 'P -6 2'
loop_
_atom_site_label
_atom_site_type_symbol
_atom_site_fract_x
_atom_site_fract_y
_atom_site_fract_z
_atom_site_occupancy
Sr1 Sr 0.0000 0.0000 0.0000 1
Mg1 Mg 0.0144 0.5072 0.0000 1
Mg2 Mg 0.1668 0.3336 0.2672 1
Mg3 Mg 0.5019 0.0038 0.5000 1
Mg4 Mg 0.6667 0.3333 0.2411 1
Ti1 Ti 0.0000 0.0000 0.5000 1